# Nb2FeC2, optimized geometry, DFT PBE
data_Nb2FeC2
_cell_length_a 6.496
_cell_length_b 6.496
_cell_length_c 2.846
_cell_angle_alpha 90.00
_cell_angle_beta 90.00
_cell_angle_gamma 90.00
_space_group_name_H-M_alt 'P 1'
_space_group_IT_number 1
_space_group_name_Hall 'P 1'
loop_
_atom_site_label
_atom_site_type_symbol
_atom_site_fract_x
_atom_site_fract_y
_atom_site_fract_z
_atom_site_occupancy
C1 C 0.652 0.848 0.500 1
Nb1 Nb 0.647 0.147 0.000 1
C2 C 0.348 0.152 0.500 1
C3 C 0.152 0.652 0.500 1
Fe1 Fe 0.500 0.500 0.000 1
C4 C 0.848 0.348 0.500 1
Nb2 Nb 0.147 0.353 0.000 1
Nb3 Nb 0.353 0.853 0.000 1
Fe2 Fe 0.000 0.000 0.000 1
Nb4 Nb 0.853 0.647 0.000 1
# - calculated volume (Å³/cell) = 120
# - DFT total energy (Ry/atom) = -0.6376
# - magnetization (μB per atom) = 0.483
# - energy above the most stable polymorph in this dataset (eV/f.u.) = 1.310

=====

# NbFe2C, optimized geometry, DFT PBE
data_NbFe2C
_cell_length_a 6.314
_cell_length_b 6.314
_cell_length_c 5.034
_cell_angle_alpha 51.16
_cell_angle_beta 51.16
_cell_angle_gamma 90.00
_space_group_name_H-M_alt 'P 1'
_space_group_IT_number 1
_space_group_name_Hall 'P 1'
loop_
_atom_site_label
_atom_site_type_symbol
_atom_site_fract_x
_atom_site_fract_y
_atom_site_fract_z
_atom_site_occupancy
C1 C 0.500 0.500 0.000 1
Fe1 Fe 0.375 0.491 0.750 1
Fe2 Fe 0.875 0.759 0.750 1
Nb1 Nb 0.000 0.000 0.000 1
Nb2 Nb 0.750 0.250 0.500 1
Fe3 Fe 0.509 0.125 0.250 1
Fe4 Fe 0.241 0.625 0.250 1
C2 C 0.250 0.750 0.500 1
# - calculated volume (Å³/cell) = 93
# - DFT total energy (Ry/atom) = -0.6550
# - magnetization (μB per atom) = 0.000

=====

# NbFeC3, optimized geometry, DFT PBE
data_NbFeC3
_cell_length_a 4.132
_cell_length_b 4.132
_cell_length_c 4.132
_cell_angle_alpha 90.00
_cell_angle_beta 90.00
_cell_angle_gamma 90.00
_space_group_name_H-M_alt 'P 1'
_space_group_IT_number 1
_space_group_name_Hall 'P 1'
loop_
_atom_site_label
_atom_site_type_symbol
_atom_site_fract_x
_atom_site_fract_y
_atom_site_fract_z
_atom_site_occupancy
C1 C 0.500 0.000 0.000 1
Nb1 Nb 0.000 0.000 0.000 1
C2 C 0.000 0.500 0.000 1
C3 C 0.000 0.000 0.500 1
Fe1 Fe 0.500 0.500 0.500 1
# - calculated volume (Å³/cell) = 71
# - DFT total energy (Ry/atom) = -0.4933
# - magnetization (μB per atom) = 0.002
# - energy above the most stable polymorph in this dataset (eV/f.u.) = 4.435

=====

# Nb2FeC2, optimized geometry, DFT PBE
data_Nb2FeC2
_cell_length_a 4.052
_cell_length_b 4.052
_cell_length_c 5.084
_cell_angle_alpha 66.51
_cell_angle_beta 66.51
_cell_angle_gamma 90.00
_space_group_name_H-M_alt 'P 1'
_space_group_IT_number 1
_space_group_name_Hall 'P 1'
loop_
_atom_site_label
_atom_site_type_symbol
_atom_site_fract_x
_atom_site_fract_y
_atom_site_fract_z
_atom_site_occupancy
Nb1 Nb 0.674 0.674 0.652 1
Nb2 Nb 0.326 0.326 0.348 1
C1 C 0.750 0.250 0.500 1
Fe1 Fe 0.000 0.000 0.000 1
C2 C 0.250 0.750 0.500 1
# - calculated volume (Å³/cell) = 69
# - DFT total energy (Ry/atom) = -0.6568
# - magnetization (μB per atom) = 0.549
# - energy above the most stable polymorph in this dataset (eV/f.u.) = 0.000

=====

# Nb2FeOsC, optimized geometry, DFT PBE
data_Nb2FeOsC
_cell_length_a 4.820
_cell_length_b 4.525
_cell_length_c 4.820
_cell_angle_alpha 90.00
_cell_angle_beta 90.00
_cell_angle_gamma 90.00
_space_group_name_H-M_alt 'P 1'
_space_group_IT_number 1
_space_group_name_Hall 'P 1'
loop_
_atom_site_label
_atom_site_type_symbol
_atom_site_fract_x
_atom_site_fract_y
_atom_site_fract_z
_atom_site_occupancy
C1 C 0.500 0.500 0.500 1
Nb1 Nb 0.500 0.000 0.000 1
Os1 Os 0.000 0.000 0.000 1
Nb2 Nb 0.000 0.000 0.500 1
Fe1 Fe 0.000 0.500 0.000 1
# - calculated volume (Å³/cell) = 105
# - DFT total energy (Ry/atom) = -0.5514
# - magnetization (μB per atom) = 0.584

=====

# PaNb2FeC4, optimized geometry, DFT PBE
data_PaNb2FeC4
_cell_length_a 3.234
_cell_length_b 5.738
_cell_length_c 10.769
_cell_angle_alpha 90.00
_cell_angle_beta 90.00
_cell_angle_gamma 106.37
_space_group_name_H-M_alt 'P 1'
_space_group_IT_number 1
_space_group_name_Hall 'P 1'
loop_
_atom_site_label
_atom_site_type_symbol
_atom_site_fract_x
_atom_site_fract_y
_atom_site_fract_z
_atom_site_occupancy
C1 C 0.567 0.135 0.250 1
Pa1 Pa 0.100 0.201 0.750 1
C2 C 0.730 0.461 0.623 1
Fe1 Fe 0.159 0.318 0.250 1
Nb1 Nb 0.631 0.261 0.046 1
C3 C 0.270 0.539 0.377 1
C4 C 0.433 0.865 0.750 1
Nb2 Nb 0.369 0.739 0.954 1
Pa2 Pa 0.900 0.799 0.250 1
Nb3 Nb 0.369 0.739 0.546 1
C5 C 0.270 0.539 0.123 1
Nb4 Nb 0.631 0.261 0.454 1
C6 C 0.000 0.000 0.500 1
C7 C 0.730 0.461 0.877 1
Fe2 Fe 0.841 0.682 0.750 1
C8 C 0.000 0.000 0.000 1
# - calculated volume (Å³/cell) = 192
# - DFT total energy (Ry/atom) = -0.7144
# - magnetization (μB per atom) = 0.000